# Hf2SiP PBE relaxed
# * formation energy without anion corrections: -910.8 meV per atom
# * polymorph energy (0 for the lowest one): 0.000 eV/atom
# * magnetization: 0.0 μB/f.u.
# * symmetry: No. 166
data_Hf2SiP
_cell_length_a 3.7370
_cell_length_b 3.7370
_cell_length_c 6.5107
_cell_angle_alpha 73.32
_cell_angle_beta 73.32
_cell_angle_gamma 60.00
_space_group_name_H-M_alt 'P 1'
_space_group_IT_number 1
loop_
_space_group_symop_operation_xyz
'x,y,z'
loop_
_atom_site_label
_atom_site_type_symbol
_atom_site_fract_x
_atom_site_fract_y
_atom_site_fract_z
P1 P 0.0000 0.0000 0.0000
Hf1 Hf 0.7486 0.7486 0.7541
Hf2 Hf 0.2514 0.2514 0.2459
Si1 Si 0.5000 0.5000 0.5000

***

# Hf2SiP PBE relaxed
# * formation energy without anion corrections: -464.9 meV per atom
# * polymorph energy (0 for the lowest one): 0.446 eV/atom
# * magnetization: 0.0 μB/f.u.
# * symmetry: No. 225
data_Hf2SiP
_cell_length_a 4.6160
_cell_length_b 4.6160
_cell_length_c 4.6160
_cell_angle_alpha 60.00
_cell_angle_beta 60.00
_cell_angle_gamma 60.00
_space_group_name_H-M_alt 'P 1'
_space_group_IT_number 1
loop_
_space_group_symop_operation_xyz
'x,y,z'
loop_
_atom_site_label
_atom_site_type_symbol
_atom_site_fract_x
_atom_site_fract_y
_atom_site_fract_z
Hf1 Hf 0.7500 0.7500 0.7500
Hf2 Hf 0.2500 0.2500 0.2500
Si1 Si 0.0000 0.0000 0.0000
P1 P 0.5000 0.5000 0.5000

***

# HfSi2TcP PBE relaxed
# * formation energy without anion corrections: 601.4 meV per atom
# * magnetization: 0.0 μB/f.u.
# * symmetry: No. 123
data_HfSi2TcP
_cell_length_a 4.6376
_cell_length_b 4.5262
_cell_length_c 4.6376
_cell_angle_alpha 90.00
_cell_angle_beta 90.00
_cell_angle_gamma 90.00
_space_group_name_H-M_alt 'P 1'
_space_group_IT_number 1
loop_
_space_group_symop_operation_xyz
'x,y,z'
loop_
_atom_site_label
_atom_site_type_symbol
_atom_site_fract_x
_atom_site_fract_y
_atom_site_fract_z
Tc1 Tc 0.0000 0.0000 0.0000
P1 P 0.0000 0.5000 0.0000
Hf1 Hf 0.5000 0.5000 0.5000
Si1 Si 0.0000 0.0000 0.5000
Si2 Si 0.5000 0.0000 0.0000

***

# SmHfP PBE relaxed
# * formation energy from the elements: -22.36 kcal/mol of atoms
# * magnetization: 0.1 μB/f.u.
# * symmetry: No. 139
data_SmHfP
_cell_length_a 4.0552
_cell_length_b 4.0552
_cell_length_c 8.3793
_cell_angle_alpha 104.05
_cell_angle_beta 104.05
_cell_angle_gamma 89.98
_space_group_name_H-M_alt 'P 1'
_space_group_IT_number 1
loop_
_space_group_symop_operation_xyz
'x,y,z'
loop_
_atom_site_label
_atom_site_type_symbol
_atom_site_fract_x
_atom_site_fract_y
_atom_site_fract_z
Hf1 Hf 0.0000 0.5000 0.0000
Hf2 Hf 0.5000 0.0000 0.0000
P1 P 0.1228 0.1228 0.2462
P2 P 0.8772 0.8772 0.7538
Sm1 Sm 0.3224 0.3224 0.6451
Sm2 Sm 0.6776 0.6776 0.3549

***

# Sm4HfP5 PBE relaxed
# * formation energy from the elements: -34.40 kcal/mol of atoms
# * magnetization: 0.0 μB/f.u.
# * symmetry: No. 87
data_Sm4HfP5
_cell_length_a 5.6980
_cell_length_b 6.9544
_cell_length_c 6.9544
_cell_angle_alpha 80.34
_cell_angle_beta 65.82
_cell_angle_gamma 65.82
_space_group_name_H-M_alt 'P 1'
_space_group_IT_number 1
loop_
_space_group_symop_operation_xyz
'x,y,z'
loop_
_atom_site_label
_atom_site_type_symbol
_atom_site_fract_x
_atom_site_fract_y
_atom_site_fract_z
Sm1 Sm 0.2007 0.2041 0.3964
Sm2 Sm 0.8013 0.7959 0.6036
Sm3 Sm 0.4049 0.3964 0.7959
Sm4 Sm 0.5972 0.6036 0.2041
P1 P 0.9056 0.3801 0.8108
P2 P 0.0965 0.6199 0.1892
P3 P 0.5008 0.0000 0.0000
P4 P 0.2857 0.8108 0.6199
P5 P 0.7164 0.1892 0.3801
Hf1 Hf 0.0013 0.0000 0.0000

***

# Sm2HfP3 PBE relaxed
# * formation energy from the elements: -32.31 kcal/mol of atoms
# * magnetization: 0.0 μB/f.u.
# * symmetry: No. 139
data_Sm2HfP3
_cell_length_a 8.8246
_cell_length_b 8.8246
_cell_length_c 8.8246
_cell_angle_alpha 153.96
_cell_angle_beta 153.96
_cell_angle_gamma 37.16
_space_group_name_H-M_alt 'P 1'
_space_group_IT_number 1
loop_
_space_group_symop_operation_xyz
'x,y,z'
loop_
_atom_site_label
_atom_site_type_symbol
_atom_site_fract_x
_atom_site_fract_y
_atom_site_fract_z
Hf1 Hf 0.0000 0.0000 0.0000
Sm1 Sm 0.3335 0.3335 0.0000
Sm2 Sm 0.6665 0.6665 0.0000
P1 P 0.8418 0.8418 0.0000
P2 P 0.1582 0.1582 0.0000
P3 P 0.5000 0.5000 0.0000

***

# SmHfP2 PBE relaxed
# * polymorph energy (0 for the lowest one): 0.101 eV/atom
# * formation energy from the elements: -30.54 kcal/mol of atoms
# * magnetization: 0.0 μB/f.u.
# * symmetry: No. 160
data_SmHfP2
_cell_length_a 3.8101
_cell_length_b 3.8101
_cell_length_c 7.0692
_cell_angle_alpha 74.37
_cell_angle_beta 74.37
_cell_angle_gamma 60.00
_space_group_name_H-M_alt 'P 1'
_space_group_IT_number 1
loop_
_space_group_symop_operation_xyz
'x,y,z'
loop_
_atom_site_label
_atom_site_type_symbol
_atom_site_fract_x
_atom_site_fract_y
_atom_site_fract_z
P1 P 0.2598 0.2598 0.2206
P2 P 0.0740 0.0740 0.7780
Hf1 Hf 0.6701 0.6701 0.9896
Sm1 Sm 0.4961 0.4961 0.5118

***

# SmHfP2 PBE relaxed
# * polymorph energy (0 for the lowest one): 0.000 eV/atom
# * formation energy from the elements: -32.86 kcal/mol of atoms
# * magnetization: 0.0 μB/f.u.
# * symmetry: No. 12
data_SmHfP2
_cell_length_a 3.8676
_cell_length_b 3.8676
_cell_length_c 6.7988
_cell_angle_alpha 73.57
_cell_angle_beta 73.57
_cell_angle_gamma 59.94
_space_group_name_H-M_alt 'P 1'
_space_group_IT_number 1
loop_
_space_group_symop_operation_xyz
'x,y,z'
loop_
_atom_site_label
_atom_site_type_symbol
_atom_site_fract_x
_atom_site_fract_y
_atom_site_fract_z
Hf1 Hf 0.0000 0.0000 0.0000
Sm1 Sm 0.5000 0.5000 0.5000
P1 P 0.7416 0.7416 0.7753
P2 P 0.2584 0.2584 0.2247

***

# TbSm2HfP4 PBE relaxed
# * formation energy from the elements: -34.73 kcal/mol of atoms
# * magnetization: 0.0 μB/f.u.
# * symmetry: No. 10
data_TbSm2HfP4
_cell_length_a 3.9663
_cell_length_b 6.8791
_cell_length_c 6.8895
_cell_angle_alpha 109.21
_cell_angle_beta 90.00
_cell_angle_gamma 90.00
_space_group_name_H-M_alt 'P 1'
_space_group_IT_number 1
loop_
_space_group_symop_operation_xyz
'x,y,z'
loop_
_atom_site_label
_atom_site_type_symbol
_atom_site_fract_x
_atom_site_fract_y
_atom_site_fract_z
P1 P 0.5000 0.2334 0.2302
P2 P 0.5000 0.7666 0.7698
P3 P 0.0000 0.2434 0.7633
P4 P 0.0000 0.7566 0.2367
Sm1 Sm 0.0000 0.5000 0.5000
Sm2 Sm 0.5000 0.0000 0.5000
Hf1 Hf 0.0000 0.0000 0.0000
Tb1 Tb 0.5000 0.5000 0.0000

***

# Sm2TmHfP4 PBE relaxed
# * formation energy from the elements: -34.83 kcal/mol of atoms
# * magnetization: 0.0 μB/f.u.
# * symmetry: No. 10
data_Sm2TmHfP4
_cell_length_a 3.9457
_cell_length_b 6.8414
_cell_length_c 6.8591
_cell_angle_alpha 109.23
_cell_angle_beta 90.00
_cell_angle_gamma 90.00
_space_group_name_H-M_alt 'P 1'
_space_group_IT_number 1
loop_
_space_group_symop_operation_xyz
'x,y,z'
loop_
_atom_site_label
_atom_site_type_symbol
_atom_site_fract_x
_atom_site_fract_y
_atom_site_fract_z
P1 P 0.0000 0.7529 0.2335
P2 P 0.0000 0.2471 0.7665
P3 P 0.5000 0.7645 0.7711
P4 P 0.5000 0.2355 0.2289
Hf1 Hf 0.0000 0.0000 0.0000
Sm1 Sm 0.5000 0.0000 0.5000
Sm2 Sm 0.0000 0.5000 0.5000
Tm1 Tm 0.5000 0.5000 0.0000

***

# SmTm2HfP4 PBE relaxed
# * formation energy from the elements: -34.59 kcal/mol of atoms
# * magnetization: 0.0 μB/f.u.
# * symmetry: No. 10
data_SmTm2HfP4
_cell_length_a 3.9114
_cell_length_b 6.7909
_cell_length_c 6.7722
_cell_angle_alpha 109.24
_cell_angle_beta 90.00
_cell_angle_gamma 90.00
_space_group_name_H-M_alt 'P 1'
_space_group_IT_number 1
loop_
_space_group_symop_operation_xyz
'x,y,z'
loop_
_atom_site_label
_atom_site_type_symbol
_atom_site_fract_x
_atom_site_fract_y
_atom_site_fract_z
P1 P 0.0000 0.7631 0.2506
P2 P 0.0000 0.2369 0.7494
P3 P 0.5000 0.2354 0.2421
P4 P 0.5000 0.7646 0.7579
Hf1 Hf 0.0000 0.0000 0.0000
Tm1 Tm 0.5000 0.0000 0.5000
Tm2 Tm 0.0000 0.5000 0.5000
Sm1 Sm 0.5000 0.5000 0.0000

***

# SmY2HfP4 PBE relaxed
# * formation energy from the elements: -34.87 kcal/mol of atoms
# * magnetization: 0.0 μB/f.u.
# * symmetry: No. 10
data_SmY2HfP4
_cell_length_a 3.9434
_cell_length_b 6.8441
_cell_length_c 6.8328
_cell_angle_alpha 109.22
_cell_angle_beta 90.00
_cell_angle_gamma 90.00
_space_group_name_H-M_alt 'P 1'
_space_group_IT_number 1
loop_
_space_group_symop_operation_xyz
'x,y,z'
loop_
_atom_site_label
_atom_site_type_symbol
_atom_site_fract_x
_atom_site_fract_y
_atom_site_fract_z
Sm1 Sm 0.5000 0.5000 0.0000
P1 P 0.0000 0.7619 0.2459
P2 P 0.0000 0.2381 0.7541
P3 P 0.5000 0.7664 0.7626
P4 P 0.5000 0.2336 0.2374
Hf1 Hf 0.0000 0.0000 0.0000
Y1 Y 0.5000 0.0000 0.5000
Y2 Y 0.0000 0.5000 0.5000

***

# Hf3SnP PBE relaxed
# * polymorph energy (0 for the lowest one): 0.000 eV/atom
# * formation energy from the elements: -13.85 kcal/mol of atoms
# * magnetization: 0.0 μB/f.u.
# * symmetry: No. 11
data_Hf3SnP
_cell_length_a 3.7323
_cell_length_b 7.3412
_cell_length_c 8.1746
_cell_angle_alpha 99.29
_cell_angle_beta 90.00
_cell_angle_gamma 90.00
_space_group_name_H-M_alt 'P 1'
_space_group_IT_number 1
loop_
_space_group_symop_operation_xyz
'x,y,z'
loop_
_atom_site_label
_atom_site_type_symbol
_atom_site_fract_x
_atom_site_fract_y
_atom_site_fract_z
Hf1 Hf 0.7500 0.3310 0.9536
Hf2 Hf 0.7500 0.0822 0.3490
Hf3 Hf 0.2500 0.9178 0.6510
Hf4 Hf 0.7500 0.6176 0.3904
Hf5 Hf 0.2500 0.6690 0.0464
Hf6 Hf 0.2500 0.3824 0.6096
P1 P 0.7500 0.1565 0.6617
P2 P 0.2500 0.8435 0.3383
Sn1 Sn 0.2500 0.3314 0.2258
Sn2 Sn 0.7500 0.6686 0.7742

***

# Hf2SnP2 PBE relaxed
# * polymorph energy (0 for the lowest one): 0.033 eV/atom
# * formation energy from the elements: -13.66 kcal/mol of atoms
# * magnetization: 0.0 μB/f.u.
# * symmetry: No. 127
data_Hf2SnP2
_cell_length_a 7.3942
_cell_length_b 7.3942
_cell_length_c 3.3866
_cell_angle_alpha 90.00
_cell_angle_beta 90.00
_cell_angle_gamma 90.00
_space_group_name_H-M_alt 'P 1'
_space_group_IT_number 1
loop_
_space_group_symop_operation_xyz
'x,y,z'
loop_
_atom_site_label
_atom_site_type_symbol
_atom_site_fract_x
_atom_site_fract_y
_atom_site_fract_z
P1 P 0.1367 0.3633 0.0000
P2 P 0.3633 0.8633 0.0000
P3 P 0.8633 0.6367 0.0000
P4 P 0.6367 0.1367 0.0000
Sn1 Sn 0.0000 0.0000 0.0000
Sn2 Sn 0.5000 0.5000 0.0000
Hf1 Hf 0.1526 0.6526 0.5000
Hf2 Hf 0.6526 0.8474 0.5000
Hf3 Hf 0.3474 0.1526 0.5000
Hf4 Hf 0.8474 0.3474 0.5000

***

# Hf6Sn2P PBE relaxed
# * formation energy from the elements: -9.99 kcal/mol of atoms
# * magnetization: 0.0 μB/f.u.
# * symmetry: No. 14
data_Hf6Sn2P
_cell_length_a 5.7726
_cell_length_b 7.4101
_cell_length_c 9.1177
_cell_angle_alpha 90.00
_cell_angle_beta 90.88
_cell_angle_gamma 90.00
_space_group_name_H-M_alt 'P 1'
_space_group_IT_number 1
loop_
_space_group_symop_operation_xyz
'x,y,z'
loop_
_atom_site_label
_atom_site_type_symbol
_atom_site_fract_x
_atom_site_fract_y
_atom_site_fract_z
Hf1 Hf 0.3684 0.8104 0.4562
Hf2 Hf 0.3887 0.5223 0.7219
Hf3 Hf 0.8621 0.6776 0.5439
Hf4 Hf 0.1316 0.3104 0.0438
Hf5 Hf 0.3621 0.8224 0.0439
Hf6 Hf 0.6113 0.4777 0.2781
Hf7 Hf 0.6379 0.1776 0.9561
Hf8 Hf 0.6316 0.1896 0.5438
Hf9 Hf 0.8684 0.6896 0.9562
Hf10 Hf 0.1379 0.3224 0.4561
Hf11 Hf 0.8887 0.9777 0.2219
Hf12 Hf 0.1113 0.0223 0.7781
Sn1 Sn 0.4124 0.1104 0.2522
Sn2 Sn 0.0876 0.6104 0.2478
Sn3 Sn 0.5876 0.8896 0.7478
Sn4 Sn 0.9124 0.3896 0.7522
P1 P 0.5000 0.5000 0.0000
P2 P 0.0000 0.0000 0.5000

***

# Hf4Sn2P PBE relaxed
# * formation energy from the elements: -12.39 kcal/mol of atoms
# * magnetization: 0.0 μB/f.u.
# * symmetry: No. 55
data_Hf4Sn2P
_cell_length_a 3.4267
_cell_length_b 8.1034
_cell_length_c 10.9884
_cell_angle_alpha 90.00
_cell_angle_beta 90.00
_cell_angle_gamma 90.00
_space_group_name_H-M_alt 'P 1'
_space_group_IT_number 1
loop_
_space_group_symop_operation_xyz
'x,y,z'
loop_
_atom_site_label
_atom_site_type_symbol
_atom_site_fract_x
_atom_site_fract_y
_atom_site_fract_z
P1 P 0.0000 0.5000 0.0000
P2 P 0.0000 0.0000 0.5000
Hf1 Hf 0.0000 0.6422 0.7966
Hf2 Hf 0.5000 0.1984 0.4161
Hf3 Hf 0.5000 0.8016 0.5839
Hf4 Hf 0.5000 0.6984 0.0839
Hf5 Hf 0.0000 0.1422 0.7034
Hf6 Hf 0.0000 0.8578 0.2966
Hf7 Hf 0.0000 0.3578 0.2034
Hf8 Hf 0.5000 0.3016 0.9161
Sn1 Sn 0.5000 0.4306 0.6369
Sn2 Sn 0.5000 0.9306 0.8631
Sn3 Sn 0.5000 0.5694 0.3631
Sn4 Sn 0.5000 0.0694 0.1369

***

# Hf7Sn2P2 PBE relaxed
# * formation energy from the elements: -5.37 kcal/mol of atoms
# * magnetization: 0.0 μB/f.u.
# * symmetry: No. 12
data_Hf7Sn2P2
_cell_length_a 7.4414
_cell_length_b 6.3321
_cell_length_c 6.3321
_cell_angle_alpha 110.91
_cell_angle_beta 98.76
_cell_angle_gamma 98.76
_space_group_name_H-M_alt 'P 1'
_space_group_IT_number 1
loop_
_space_group_symop_operation_xyz
'x,y,z'
loop_
_atom_site_label
_atom_site_type_symbol
_atom_site_fract_x
_atom_site_fract_y
_atom_site_fract_z
Hf1 Hf 0.1624 0.4061 0.4061
Hf2 Hf 0.0000 0.0000 0.0000
Hf3 Hf 0.8228 0.0872 0.5546
Hf4 Hf 0.1772 0.9128 0.4454
Hf5 Hf 0.8376 0.5939 0.5939
Hf6 Hf 0.1772 0.4454 0.9128
Hf7 Hf 0.8228 0.5546 0.0872
Sn1 Sn 0.5000 0.6679 0.3321
Sn2 Sn 0.5000 0.3321 0.6679
P1 P 0.7872 0.2266 0.2266
P2 P 0.2128 0.7734 0.7734

***

# Hf2SnP2 PBE relaxed
# * polymorph energy (0 for the lowest one): 0.000 eV/atom
# * formation energy from the elements: -14.43 kcal/mol of atoms
# * magnetization: 0.0 μB/f.u.
# * symmetry: No. 127
data_Hf2SnP2
_cell_length_a 7.5066
_cell_length_b 7.5066
_cell_length_c 3.3817
_cell_angle_alpha 90.00
_cell_angle_beta 90.00
_cell_angle_gamma 90.00
_space_group_name_H-M_alt 'P 1'
_space_group_IT_number 1
loop_
_space_group_symop_operation_xyz
'x,y,z'
loop_
_atom_site_label
_atom_site_type_symbol
_atom_site_fract_x
_atom_site_fract_y
_atom_site_fract_z
Hf1 Hf 0.3498 0.8498 0.0000
Hf2 Hf 0.8498 0.6502 0.0000
Hf3 Hf 0.6502 0.1502 0.0000
Hf4 Hf 0.1502 0.3498 0.0000
P1 P 0.1390 0.6390 0.5000
P2 P 0.6390 0.8610 0.5000
P3 P 0.8610 0.3610 0.5000
P4 P 0.3610 0.1390 0.5000
Sn1 Sn 0.5000 0.5000 0.0000
Sn2 Sn 0.0000 0.0000 0.0000

***

# Hf5SnP PBE relaxed
# * formation energy from the elements: -6.63 kcal/mol of atoms
# * magnetization: 0.0 μB/f.u.
# * symmetry: No. 15
data_Hf5SnP
_cell_length_a 5.8806
_cell_length_b 5.8806
_cell_length_c 10.1419
_cell_angle_alpha 75.82
_cell_angle_beta 75.82
_cell_angle_gamma 64.74
_space_group_name_H-M_alt 'P 1'
_space_group_IT_number 1
loop_
_space_group_symop_operation_xyz
'x,y,z'
loop_
_atom_site_label
_atom_site_type_symbol
_atom_site_fract_x
_atom_site_fract_y
_atom_site_fract_z
Sn1 Sn 0.4330 0.5670 0.2500
Sn2 Sn 0.5670 0.4330 0.7500
Hf1 Hf 0.9303 0.0697 0.2500
Hf2 Hf 0.4794 0.7772 0.9568
Hf3 Hf 0.6019 0.9592 0.6382
Hf4 Hf 0.0697 0.9303 0.7500
Hf5 Hf 0.3981 0.0408 0.3618
Hf6 Hf 0.5206 0.2228 0.0432
Hf7 Hf 0.9592 0.6019 0.1382
Hf8 Hf 0.7772 0.4794 0.4568
Hf9 Hf 0.2228 0.5206 0.5432
Hf10 Hf 0.0408 0.3981 0.8618
P1 P 0.0000 0.0000 0.0000
P2 P 0.0000 0.0000 0.5000

***

# HfSn2P2 PBE relaxed
# * formation energy from the elements: -3.49 kcal/mol of atoms
# * magnetization: 0.0 μB/f.u.
# * symmetry: No. 127
data_HfSn2P2
_cell_length_a 7.0796
_cell_length_b 7.0796
_cell_length_c 4.2903
_cell_angle_alpha 90.00
_cell_angle_beta 90.00
_cell_angle_gamma 90.00
_space_group_name_H-M_alt 'P 1'
_space_group_IT_number 1
loop_
_space_group_symop_operation_xyz
'x,y,z'
loop_
_atom_site_label
_atom_site_type_symbol
_atom_site_fract_x
_atom_site_fract_y
_atom_site_fract_z
Sn1 Sn 0.3444 0.1556 0.5000
Sn2 Sn 0.8444 0.3444 0.5000
Sn3 Sn 0.6556 0.8444 0.5000
Sn4 Sn 0.1556 0.6556 0.5000
P1 P 0.3311 0.8311 0.0000
P2 P 0.8311 0.6689 0.0000
P3 P 0.6689 0.1689 0.0000
P4 P 0.1689 0.3311 0.0000
Hf1 Hf 0.5000 0.5000 0.0000
Hf2 Hf 0.0000 0.0000 0.0000